# PBE-GGA Cu2AsRu, relaxed
data_Cu2AsRu
_space_group_name_H-M_alt 'C 1 2/m 1'
_space_group_IT_number 12
_space_group_name_Hall '-C 2y'
_cell_length_a 9.7720
_cell_length_b 3.0055
_cell_length_c 4.0422
_cell_angle_alpha 90.00
_cell_angle_beta 114.35
_cell_angle_gamma 90.00
loop_
_atom_site_label
_atom_site_type_symbol
_atom_site_fract_x
_atom_site_fract_y
_atom_site_fract_z
Cu1 Cu 0.2356 0.0000 0.2355
As1 As 0.0000 0.5000 0.0000
Ru1 Ru 0.0000 0.0000 0.5000
# DFT formation energy in eV per atom: 0.12
# DOS(E_F) in states/eV/cell: 7.2